# 1
A plane-wave DFT calculation with GGA-PBE was carried out for Mg2H4Os after structural relaxation.

```
Mg2H4Os
1.0
-3.680 2.806 1.307
-2.208 -4.189 2.775
3.113 2.258 3.917
H Mg Os
8 4 2
Cartesian
-4.341 0.389 4.385
-0.836 -1.491 5.270
-1.473 1.369 6.181
-1.939 2.365 2.730
-1.302 -0.495 1.818
1.566 0.485 3.614
-0.171 1.809 4.231
-2.604 -0.935 3.768
-2.797 -0.338 6.117
-3.325 0.789 2.213
0.022 1.212 1.883
0.550 0.085 5.786
-4.257 -1.223 3.908
1.482 2.097 4.091
```

The value obtained for the total magnetization is 0.00 μB per cell. The final energy comes out at -4.29 eV/atom. The density of states at the Fermi level is 0.00 states/eV/atom. The calculation puts the calculated volume at 10.18 Å³/atom. The space group is Cmcm, No. 63.

---

# 2
A plane-wave DFT calculation with GGA-PBE was carried out for CsSbO3 after structural relaxation.

```
CsSbO3
1.0
4.199 0.000 0.000
0.000 4.199 0.000
0.000 0.000 4.199
O Sb Cs
3 1 1
Cartesian
2.100 2.100 0.000
0.000 2.100 2.100
2.100 0.000 2.100
2.100 2.100 2.100
0.000 0.000 0.000
```

The value obtained for the total magnetization is 0.00 μB per cell. The density of states at the Fermi level is 0.96 states/eV/atom. For the uncorrected formation energy, the calculation gives -1204 meV per atom. The calculation puts the calculated volume at 14.81 Å³/atom. The space group is Pm-3m, No. 221.

---

# 3
A plane-wave DFT calculation with GGA-PBE was carried out for Rb2SrZnBr6 after structural relaxation.

```
Rb2SrZnBr6
1.0
-3.968 -6.381 2.766
3.187 -4.484 5.819
-3.081 0.019 7.215
Br Sr Rb Zn
6 1 2 1
Cartesian
-1.310 -2.724 8.931
-4.656 -4.296 8.075
-2.472 -5.833 10.770
-2.583 -4.128 4.454
0.766 -2.555 5.310
-1.419 -1.018 2.613
-2.337 -8.858 10.986
-1.437 -6.060 7.139
-2.459 -0.780 6.255
-0.406 -3.435 3.086
```

The value obtained for the total magnetization is 0.00 μB per cell. The density of states at the Fermi level is 0.00 states/eV/atom. For the uncorrected formation energy, the calculation gives -1552 meV per atom. The calculation puts the calculated volume at 35.19 Å³/atom. The space group is R3, No. 146.

---

# 4
A plane-wave DFT calculation with GGA-PBE was carried out for Tl6TeSe4 after structural relaxation.

```
Tl6TeSe4
1.0
4.522 0.000 0.000
-2.261 7.406 0.000
0.000 0.000 21.035
Tl Se Te
12 8 2
Cartesian
2.261 4.030 1.777
0.000 0.724 3.554
0.000 4.765 5.259
2.261 0.000 0.000
2.261 0.000 10.517
0.000 0.724 6.963
0.000 3.376 12.295
2.261 6.682 14.072
2.261 2.641 15.776
0.000 3.376 19.258
2.261 6.682 17.480
2.261 4.030 8.740
0.000 2.081 0.973
0.000 2.081 9.545
2.261 5.326 20.062
2.261 1.203 13.479
0.000 6.204 2.961
2.261 5.326 11.490
2.261 1.203 18.073
0.000 6.204 7.556
0.000 4.488 15.776
2.261 2.918 5.259
```

The value obtained for the total magnetization is 0.00 μB per cell. The density of states at the Fermi level is 0.56 states/eV/atom. For the uncorrected formation energy, the calculation gives -280 meV per atom. The calculation puts the calculated volume at 32.02 Å³/atom. The space group is Cmcm, No. 63.

---

# 5
A plane-wave DFT calculation with GGA-PBE was carried out for La5Si2As2 after structural relaxation.

```
La5Si2As2
1.0
7.552 0.000 2.741
0.000 8.129 0.000
1.156 0.000 8.589
Si La As
4 10 4
Cartesian
2.936 7.219 1.066
4.615 0.910 1.675
0.839 3.154 0.305
6.712 4.974 2.437
5.495 2.670 4.261
0.602 5.458 2.485
3.212 5.458 7.068
1.720 1.394 2.891
6.988 6.735 8.439
8.105 2.670 8.845
4.378 6.735 3.856
4.329 1.394 7.474
0.000 0.000 0.000
3.776 4.064 1.371
2.215 0.000 5.671
6.492 0.000 5.659
5.991 4.064 7.041
2.717 4.064 4.288
```

The value obtained for the total magnetization is 0.00 μB per cell. The density of states at the Fermi level is 1.08 states/eV/atom. For the uncorrected formation energy, the calculation gives -1048 meV per atom. The calculation puts the calculated volume at 27.86 Å³/atom. The space group is Cmce, No. 64.

---

# 6
A plane-wave DFT calculation with GGA-PBE was carried out for Sm5Cu2Pt after structural relaxation.

```
Sm5Cu2Pt
1.0
-3.095 5.195 3.857
-3.482 -4.941 3.860
9.310 -0.354 1.281
Sm Cu Pt
10 4 2
Cartesian
-3.151 -0.664 7.334
4.623 -2.713 2.996
-3.289 0.127 3.859
0.197 0.781 3.475
5.884 0.563 1.663
-1.890 2.612 6.002
2.536 -0.882 5.523
3.796 2.394 4.190
-1.064 -2.495 4.807
0.000 0.000 0.000
-1.694 -1.249 1.930
-4.236 -2.374 4.858
-4.883 1.502 5.787
-2.341 2.628 2.859
-0.278 0.013 6.428
3.011 -0.114 2.570
```

The value obtained for the total magnetization is 0.00 μB per cell. The density of states at the Fermi level is 1.42 states/eV/atom. Its energy of formation is -0.3836 eV per atom. The calculation puts the calculated volume at 25.46 Å³/atom. The space group is I4/mcm, No. 140.

---

# 7
A plane-wave DFT calculation with GGA-PBE was carried out for ErMgP2 after structural relaxation.

```
ErMgP2
1.0
-3.342 -2.108 0.070
-0.040 -3.689 -1.417
0.350 -4.089 5.124
Er P Mg
1 2 1
Cartesian
0.000 0.000 0.000
-2.285 -7.399 2.792
-0.747 -2.487 0.985
-1.516 -4.943 1.889
```

The value obtained for the total magnetization is 0.00 μB per cell. The value obtained for the energy relative to the lowest polymorph listed for this composition is 5 meV/atom. The density of states at the Fermi level is 0.70 states/eV/atom. Its energy of formation is -0.8631 eV per atom. The calculation puts the calculated volume at 20.82 Å³/atom. The space group is R-3m, No. 166.

---

# 8
A plane-wave DFT calculation with GGA-PBE was carried out for ScGaRu3 after structural relaxation.

```
ScGaRu3
1.0
4.638 0.000 0.000
0.000 4.638 0.000
0.000 0.000 4.638
Ru Sc Ga
3 1 1
Cartesian
2.319 0.000 0.000
0.000 0.000 2.319
0.000 2.319 0.000
0.000 0.000 0.000
2.319 2.319 2.319
```

The value obtained for the total magnetization is 3.90 μB per cell. The value obtained for the energy relative to the lowest polymorph listed for this composition is 739 meV/atom. The density of states at the Fermi level is 1.04 states/eV/atom. Its energy of formation is 1.4255 eV per atom. The calculation puts the calculated volume at 19.95 Å³/atom. The space group is Pm-3m, No. 221.

---

# 9
A plane-wave DFT calculation with GGA-PBE was carried out for LiIrBr2 after structural relaxation.

```
LiIrBr2
1.0
-1.625 1.361 2.864
-5.788 -5.549 -0.648
1.910 -2.243 2.149
Li Ir Br
1 1 2
Cartesian
-1.939 -3.896 0.751
0.143 -0.441 2.507
-3.707 -2.094 1.108
0.000 0.000 0.000
```

The value obtained for the total magnetization is 0.86 μB per cell. The value obtained for the energy relative to the lowest polymorph listed for this composition is 387 meV/atom. The density of states at the Fermi level is 1.09 states/eV/atom. For the uncorrected formation energy, the calculation gives 69 meV per atom. The calculation puts the calculated volume at 26.13 Å³/atom. The space group is Pmmm, No. 47.

---

# 10
A plane-wave DFT calculation with GGA-PBE was carried out for Al2CdAg9 after structural relaxation.

```
Al2CdAg9
1.0
4.125 0.000 0.000
0.000 4.125 0.000
0.000 0.000 12.421
Al Cd Ag
2 1 9
Cartesian
0.000 0.000 8.264
0.000 0.000 4.157
0.000 0.000 0.000
0.000 2.063 2.172
2.063 2.063 4.204
2.063 0.000 2.172
2.063 0.000 10.249
2.063 2.063 8.217
2.063 0.000 6.210
0.000 2.063 10.249
2.063 2.063 0.000
0.000 2.063 6.210
```

The value obtained for the total magnetization is 0.00 μB per cell. The density of states at the Fermi level is 0.32 states/eV/atom. Its energy of formation is -0.0305 eV per atom. The calculation puts the calculated volume at 17.61 Å³/atom. The space group is P4/mmm, No. 123.

---

# 11
A plane-wave DFT calculation with GGA-PBE was carried out for Ta2BePt after structural relaxation.

```
Ta2BePt
1.0
-1.277 -2.151 -1.300
-0.682 -1.104 2.503
-6.485 3.885 -0.055
Ta Be Pt
2 1 1
Cartesian
-2.844 -0.511 0.586
-6.356 3.807 -0.053
-3.434 2.057 -0.029
-5.540 1.104 0.563
```

The value obtained for the total magnetization is 0.00 μB per cell. The density of states at the Fermi level is 0.66 states/eV/atom. Its energy of formation is -0.3645 eV per atom. The calculation puts the calculated volume at 15.02 Å³/atom. The space group is P4mm, No. 99.

---

# 12
A plane-wave DFT calculation with GGA-PBE was carried out for PmMg11Pd after structural relaxation.

```
PmMg11Pd
1.0
-3.409 -3.940 -2.126
-1.739 -5.195 5.390
-7.462 1.967 0.874
Mg Pd Pm
11 1 1
Cartesian
-0.869 -2.597 2.695
-2.938 -1.924 0.723
-4.571 -5.597 3.335
-7.265 -3.427 3.265
-8.909 -4.439 0.435
-8.039 -1.571 0.803
-3.701 -2.728 3.702
-5.436 -0.986 -0.626
-5.345 -3.741 0.873
-9.672 -5.244 3.414
-3.731 0.984 0.437
-2.574 -4.567 1.632
0.000 0.000 0.000
```

The value obtained for the total magnetization is 0.00 μB per cell. The density of states at the Fermi level is 0.43 states/eV/atom. Its energy of formation is -0.1646 eV per atom. The calculation puts the calculated volume at 22.60 Å³/atom. The space group is C2/m, No. 12.